## Zn2AsRh (GGA-PBE)

Data for a relaxed structure of Zn2AsRh.

Unit cell a=4.4191 b=4.4191 c=4.4191 alpha=60.00 beta=60.00 gamma=60.00
Positions (direct):
As1 0.5000 0.5000 0.5000
Rh1 0.2500 0.2500 0.2500
Zn1 0.7500 0.7500 0.7500
Zn2 0.0000 0.0000 0.0000

Values from the calculation:
Raw total energy ... -3.668 eV per atom
Energy of formation from the pure elements ... -0.03 eV per atom
Symmetry ... F-43m